No. 1
DFT (PBE) results for an optimized crystal structure of YZrTc2.

The structure belongs to space group P4/mmm (No. 123); the cell edges are 3.354, 3.354 and 6.815 Å and the angles 90.00°, 90.00° and 90.00°. The distinct sites, in fractional coordinates, are Y at (0.000, 0.000, 0.000), Zr at (0.000, 0.000, 0.500) and Tc at (0.500, 0.500, 0.272).

The calculated formation energy comes out at -0.057 eV/atom. Its magnetic moment is 0.000 μB/atom. Its total DFT energy (no corrections) is -8.99 eV per atom.

***

No. 2
DFT (PBE) results for an optimized crystal structure of CaNd2IrO8.

The structure belongs to space group P2/m (No. 10); the cell edges are 5.146, 7.102 and 5.165 Å and the angles 90.00°, 90.77° and 90.00°. The distinct sites, in fractional coordinates, are Ca at (0.000, 0.000, 0.000), Nd at (0.500, 0.246, 0.500), Ir at (0.000, 0.500, 0.000), O at (0.180, 0.305, 0.823), O at (0.261, 0.500, 0.262) and O at (0.306, 0.000, 0.308).

For the uncorrected formation energy, the calculation gives -2.01 eV per atom. Its magnetic moment is 0.079 μB/atom. Its total DFT energy (no corrections) is -7.01 eV per atom.